[1]
Density functional theory data (PBE-GGA) for NiP after structural relaxation.

Values from the calculation:
Space-group type = P-3m1 (164)
Final energy = -22.3 eV/cell

Lattice parameters (Å, degrees): 2.8382 2.8382 7.7083 90.00 90.00 120.00
Sites, in units of the cell vectors:
Ni 0.6667 0.3333 0.8695
Ni 0.3333 0.6667 0.1305
P 0.6667 0.3333 0.3248
P 0.3333 0.6667 0.6752

---

[2]
Density functional theory data (PBE-GGA) for KTa2Hg after structural relaxation.

Values from the calculation:
Space-group type = P4/mmm (123)
Final energy = -20.4 eV/cell

Lattice parameters (Å, degrees): 3.7657 3.7657 7.9720 90.00 90.00 90.00
Sites, in units of the cell vectors:
Hg 0.5000 0.5000 0.2500
K 0.5000 0.5000 0.7500
Ta 0.0000 0.0000 0.1028
Ta 0.0000 0.0000 0.3972

---

[3]
Density functional theory data (PBE-GGA) for TiHSe2 after structural relaxation.

Values from the calculation:
Energy above the most stable polymorph in this dataset = 446.0 meV per atom
Space-group type = I-42d (122)
Final energy = -38.2 eV/cell

Lattice parameters (Å, degrees): 5.4814 5.4814 6.4721 64.95 64.95 90.00
Each line ends with the local moment (μB).
Sites, in units of the cell vectors:
H 0.5000 0.5000 0.0000  0.08
H 0.2500 0.7500 0.5000  0.09
Se 0.5889 0.1250 0.2500  -0.05
Se 0.1611 0.6250 0.2500  -0.05
Se 0.3750 0.4111 0.7500  -0.05
Se 0.8750 0.8389 0.7500  -0.04
Ti 0.0000 0.0000 0.0000  0.65
Ti 0.7500 0.2500 0.5000  0.63

---

[4]
Density functional theory data (PBE-GGA) for HfPbN2O after structural relaxation.

Values from the calculation:
Space-group type = P4/mmm (123)
Final energy = -38.2 eV/cell
Formation energy from raw total energies = -0.5887 eV/atom

Lattice parameters (Å, degrees): 4.3481 4.3481 4.1608 90.00 90.00 90.00
Each line ends with the local moment (μB).
Sites, in units of the cell vectors:
Pb 0.5000 0.5000 0.5000  0.00
Hf 0.0000 0.0000 0.0000  -0.05
O 0.0000 0.0000 0.5000  0.18
N 0.0000 0.5000 0.0000  0.65
N 0.5000 0.0000 0.0000  0.65

---

[5]
Density functional theory data (PBE-GGA) for Zr2AlFe2Co5 after structural relaxation.

Values from the calculation:
Space-group type = P4/mbm (127)
Final energy = -149.8 eV/cell

Lattice parameters (Å, degrees): 3.6209 8.6606 8.6606 90.00 90.00 90.00
Each line ends with the local moment (μB).
Sites, in units of the cell vectors:
Zr 0.0000 0.6796 0.1796  -0.34
Zr 0.0000 0.3204 0.8204  -0.34
Zr 0.0000 0.1796 0.3204  -0.34
Zr 0.0000 0.8204 0.6796  -0.34
Al 0.0000 0.0000 0.0000  0.00
Al 0.0000 0.5000 0.5000  0.00
Fe 0.0000 0.1197 0.6197  2.02
Fe 0.0000 0.8803 0.3803  2.02
Fe 0.0000 0.6197 0.8803  2.02
Fe 0.0000 0.3803 0.1197  2.02
Co 0.5000 0.2074 0.0605  1.03
Co 0.5000 0.7926 0.9395  1.03
Co 0.5000 0.0605 0.7926  1.03
Co 0.5000 0.7074 0.4395  1.03
Co 0.5000 0.9395 0.2074  1.03
Co 0.5000 0.2926 0.5605  1.03
Co 0.5000 0.5605 0.7074  1.03
Co 0.5000 0.4395 0.2926  1.03
Co 0.5000 0.5000 0.0000  1.07
Co 0.5000 0.0000 0.5000  1.07

---

[6]
Density functional theory data (PBE-GGA) for CePaZn after structural relaxation.

Values from the calculation:
Energy above the most stable polymorph in this dataset = 0.0 meV per atom
Space-group type = I4mm (107)
Final energy = -16.7 eV/cell

Lattice parameters (Å, degrees): 3.0186 3.0186 7.6464 101.38 101.38 90.00
Sites, in units of the cell vectors:
Zn 0.6647 0.6647 0.3293
Pa 0.0092 0.0092 0.0184
Ce 0.3261 0.3261 0.6522

---

Question: Look up the final energy of the third one.
Answer: -38.2 eV/cell

---

Question: What is the formula in the sixth record?
Answer: CePaZn

---

Question: Among the records above, which one has the lowest final energy?
Answer: Zr2AlFe2Co5